1.
Dy2B7Rh12 PBE relaxed; energy of formation = -0.464 eV/atom
1.0
-2.043 -2.308 2.474
4.609 -7.016 -2.739
2.884 4.781 6.841
B Rh Dy
7 12 2
Cartesian
4.458 -5.402 0.185 B
4.466 -2.661 2.748 B
0.992 0.858 6.391 B
1.680 -2.880 0.244 B
0.984 -1.882 3.828 B
3.769 -1.663 6.332 B
-1.022 -1.154 1.237 B
0.050 -0.070 4.715 Rh
2.905 0.080 7.212 Rh
0.645 -0.095 2.042 Rh
0.036 -2.743 2.188 Rh
2.682 -7.232 0.186 Rh
4.805 -4.449 4.534 Rh
2.628 -1.883 1.989 Rh
5.413 -1.801 4.389 Rh
2.767 2.688 6.391 Rh
2.822 -2.661 4.587 Rh
2.545 -4.623 -0.636 Rh
5.400 -4.473 1.862 Rh
2.507 -4.808 2.303 Dy
2.942 0.265 4.273 Dy


2.
NpTl2Te3 PBE relaxed; ΔE to the lowest computed polymorph = 0 meV per atom; formation energy from raw total energies = -2.92 eV per formula unit
1.0
-2.480 -7.352 1.538
2.736 1.742 -7.214
7.325 -0.204 4.154
Te Tl Np
6 4 2
Cartesian
5.105 -5.685 0.337 Te
0.908 -2.860 0.770 Te
2.444 0.329 -1.754 Te
5.675 -1.663 2.004 Te
1.733 -4.448 -3.239 Te
6.874 -3.110 -2.687 Te
2.051 -5.938 2.156 Tl
3.851 -2.799 -0.864 Tl
0.997 -1.289 -4.297 Tl
5.467 0.018 -3.576 Tl
10.047 1.517 -3.039 Np
-0.729 -4.298 -1.401 Np


3.
LiAcHfO4 PBE relaxed; formation energy from raw total energies = -21.24 eV per formula unit
1.0
6.446 0.000 0.000
3.223 6.337 -0.303
3.223 1.642 6.128
O Hf Li Ac
8 2 2 2
Cartesian
4.744 2.528 4.311 O
4.744 5.451 1.515 O
6.446 6.385 3.896 O
8.148 5.451 1.515 O
9.669 6.313 3.843 O
3.223 1.666 1.982 O
6.446 1.594 1.929 O
8.148 2.528 4.311 O
1.612 0.821 3.064 Hf
4.835 0.821 3.064 Hf
6.446 4.875 1.094 Li
6.446 3.104 4.731 Li
0.000 0.000 0.000 Ac
3.223 3.990 2.913 Ac


4.
Li2ZnAg6 PBE relaxed; ΔE to the lowest computed polymorph = 0 meV per atom; energy of formation = -0.095 eV/atom
1.0
-0.192 1.102 4.780
-6.183 -4.914 1.827
3.140 -6.978 2.677
Ag Li Zn
12 4 2
Cartesian
-3.621 -8.596 5.077 Ag
-1.342 -8.571 7.684 Ag
1.520 -7.261 6.385 Ag
-2.492 -4.978 2.007 Ag
-0.304 -4.932 4.606 Ag
0.387 -2.194 4.207 Ag
-0.743 -5.812 7.277 Ag
-5.401 -6.259 3.355 Ag
-1.893 -2.219 1.600 Ag
-2.930 -5.858 4.679 Ag
2.166 -4.531 5.929 Ag
-4.755 -3.529 2.899 Ag
-3.370 -6.649 7.270 Li
-2.298 -3.073 4.191 Li
-0.936 -7.717 5.093 Li
0.136 -4.141 2.014 Li
-5.081 -4.364 5.526 Zn
1.846 -6.427 3.759 Zn


5.
NdDyRuPt PBE relaxed; energy of formation = -0.656 eV/atom
1.0
-4.314 1.698 -1.751
-1.908 -1.905 -4.158
-4.052 -2.846 0.209
Ru Dy Nd Pt
1 1 1 1
Cartesian
-2.568 -0.763 -1.425 Ru
0.000 0.000 0.000 Dy
-5.137 -1.527 -2.850 Nd
-7.705 -2.290 -4.275 Pt


6.
K2LiHgI5 PBE relaxed; formation energy from raw total energies = -9.06 eV per formula unit
1.0
4.567 0.000 0.000
-2.283 10.935 0.000
0.000 0.000 14.653
I K Li Hg
10 4 2 2
Cartesian
2.283 10.089 7.978 I
0.000 10.896 11.231 I
2.283 4.482 2.320 I
0.000 0.846 0.651 I
0.000 6.454 9.646 I
0.000 6.806 5.450 I
2.283 0.039 3.905 I
2.283 4.130 12.776 I
2.283 3.291 7.371 I
0.000 7.644 0.044 I
0.000 2.889 4.633 K
0.000 2.848 10.064 K
2.283 8.046 11.960 K
2.283 8.087 2.738 K
0.000 4.956 0.662 Li
2.283 5.979 7.988 Li
0.000 9.507 6.324 Hg
2.283 1.429 13.650 Hg


7.
La5TmSb4 PBE relaxed; formation energy from raw total energies = -8.39 eV per formula unit
1.0
4.441 0.000 0.000
0.000 8.838 -0.530
-2.220 -1.822 9.552
Sb La Tm
4 5 1
Cartesian
0.000 6.874 5.929 Sb
2.220 4.886 9.090 Sb
2.220 0.142 3.092 Sb
0.000 2.130 -0.069 Sb
2.220 4.419 -0.265 La
2.220 4.606 5.950 La
0.000 6.703 2.740 La
2.220 0.313 6.281 La
0.000 2.409 3.071 La
2.220 0.000 0.000 Tm


8.
RbAsPd2 PBE relaxed; energy of formation = -0.338 eV/atom
1.0
-1.449 3.965 -1.261
-3.739 1.616 1.681
1.458 4.480 4.711
Pd Rb As
2 1 1
Cartesian
-3.366 7.079 3.033 Pd
-0.365 2.982 2.097 Pd
0.000 0.000 0.000 Rb
-1.865 5.030 2.565 As


9.
Cs5Sn2Te6 PBE relaxed; formation energy from raw total energies = -10.25 eV per formula unit
1.0
-0.617 4.866 1.591
-3.375 -4.893 13.656
16.390 0.675 4.293
Te Cs Sn
12 10 4
Cartesian
1.670 -1.401 13.288 Te
7.084 -3.668 13.966 Te
5.932 -0.550 3.983 Te
7.979 -2.182 9.768 Te
5.036 -2.036 8.181 Te
14.730 0.473 4.266 Te
10.362 -0.343 13.425 Te
2.037 0.991 6.114 Te
-0.552 -3.194 9.555 Te
13.567 -1.024 8.394 Te
-1.714 -4.691 13.683 Te
10.728 2.049 6.251 Te
1.940 -0.194 9.703 Cs
3.464 2.245 2.832 Cs
-1.996 -0.014 7.623 Cs
8.935 -1.597 16.708 Cs
-0.771 1.573 3.245 Cs
10.458 0.842 9.837 Cs
13.169 -0.925 16.295 Cs
7.887 2.770 2.942 Cs
6.930 1.195 7.391 Cs
5.468 -0.546 12.149 Cs
9.180 -2.843 12.257 Sn
0.496 -3.889 12.087 Sn
3.835 -1.375 5.692 Sn
12.519 -0.329 5.861 Sn


10.
BeCd2Ag PBE relaxed; energy of formation = 0.299 eV/atom
1.0
-4.169 -0.724 -1.837
-2.338 -3.841 1.028
-3.764 0.232 2.657
Cd Be Ag
2 1 1
Cartesian
-2.568 -1.083 0.462 Cd
0.000 0.000 0.000 Cd
-7.703 -3.250 1.386 Be
-5.135 -2.166 0.924 Ag


11.
BaGa2Sb2 PBE relaxed; formation energy from raw total energies = -1.91 eV per formula unit
1.0
-1.454 4.182 4.489
-2.487 -3.412 6.743
5.334 0.596 5.514
Sb Ga Ba
4 4 2
Cartesian
-0.925 1.483 4.246 Sb
0.860 -1.281 8.742 Sb
2.317 -0.117 12.500 Sb
0.533 2.648 8.004 Sb
0.906 0.766 2.291 Ga
1.873 0.958 9.993 Ga
-0.481 0.409 6.753 Ga
0.487 0.601 14.455 Ga
3.176 0.247 6.503 Ba
-1.784 1.119 10.243 Ba


12.
Cu2RePt PBE relaxed; ΔE to the lowest computed polymorph = 78 meV per atom; energy of formation = 0.102 eV/atom
1.0
-0.563 -3.504 2.909
2.052 -3.302 2.439
0.552 2.401 4.099
Cu Re Pt
2 1 1
Cartesian
1.018 -2.230 4.700 Cu
1.491 -6.777 5.372 Cu
0.510 -1.101 2.362 Re
1.531 -3.303 7.085 Pt


13.
Mo2Pt2Rh PBE relaxed; ΔE to the lowest computed polymorph = 0 meV per atom; energy of formation = -0.234 eV/atom
1.0
-3.572 0.012 -1.594
-0.156 -1.889 -4.458
-2.543 -4.006 0.869
Rh Pt Mo
1 2 2
Cartesian
-0.078 -0.945 -2.229 Rh
-2.492 -2.102 -1.628 Pt
-3.780 -3.780 -3.556 Pt
-4.909 -3.439 -1.036 Mo
-1.363 -2.443 -4.147 Mo


14.
Pm2ErThSe5 PBE relaxed; formation energy from raw total energies = -10.40 eV per formula unit
1.0
-1.076 3.005 -3.951
0.527 -3.950 -3.149
-10.607 -2.315 1.128
Pm Se Th Er
2 5 1 1
Cartesian
-7.391 -2.025 -2.793 Pm
-3.765 -1.234 -3.178 Pm
-5.842 0.345 -1.411 Se
-5.040 -3.133 -1.010 Se
-0.274 -0.473 -3.550 Se
-7.958 -1.737 0.846 Se
-2.649 -0.578 0.282 Se
0.000 0.000 0.000 Th
-5.304 -1.157 0.564 Er


15.
RbBH2 PBE relaxed; ΔE to the lowest computed polymorph = 190 meV per atom
1.0
-2.259 -1.413 1.831
-0.534 -3.197 -3.173
7.355 -4.193 3.285
Rb H B
2 4 2
Cartesian
6.403 -5.351 1.624 Rb
1.365 -6.367 0.294 Rb
-1.256 -4.173 -1.452 H
1.228 -2.050 0.636 H
4.122 -6.966 0.376 H
-1.799 -3.865 -1.898 H
1.809 -2.632 -0.452 B
0.728 -3.303 0.418 B


16.
Sr2LiAl4Ag3 PBE relaxed; energy of formation = -0.206 eV/atom
1.0
4.373 0.000 0.000
0.000 4.373 0.000
0.000 0.000 11.720
Al Li Sr Ag
4 1 2 3
Cartesian
2.187 0.000 7.458 Al
0.000 2.187 4.261 Al
2.187 2.187 0.000 Al
0.000 0.000 0.000 Al
2.187 2.187 5.860 Li
0.000 2.187 8.836 Sr
2.187 0.000 2.884 Sr
0.000 0.000 5.860 Ag
0.000 2.187 1.577 Ag
2.187 0.000 10.143 Ag


17.
HfCuPb2W PBE relaxed; energy of formation = 1.335 eV/atom
1.0
-3.962 -3.396 0.919
2.478 -3.467 -2.130
2.187 -1.293 4.650
Cu W Pb Hf
1 1 2 1
Cartesian
1.239 -1.734 -1.065 Cu
0.000 0.000 0.000 W
-1.981 -1.698 0.460 Pb
1.093 -0.647 2.325 Pb
0.351 -4.078 1.720 Hf


18.
Cd5Ag2Rh PBE relaxed; ΔE to the lowest computed polymorph = 85 meV per atom; energy of formation = 0.007 eV/atom
1.0
4.704 0.000 0.000
-2.352 4.884 0.000
0.000 0.000 14.082
Ag Cd Rh
4 10 2
Cartesian
0.000 2.248 12.034 Ag
0.000 2.248 9.089 Ag
2.352 2.635 4.993 Ag
2.352 2.635 2.048 Ag
2.352 1.332 7.788 Cd
2.352 4.272 12.741 Cd
0.000 4.760 10.562 Cd
2.352 1.332 13.336 Cd
2.352 0.124 3.521 Cd
0.000 0.612 5.700 Cd
0.000 3.552 0.746 Cd
2.352 4.272 8.382 Cd
0.000 3.552 6.295 Cd
0.000 0.612 1.341 Cd
2.352 2.665 10.562 Rh
0.000 2.219 3.521 Rh


19.
SrTcBr2 PBE relaxed; ΔE to the lowest computed polymorph = 117 meV per atom; formation energy from raw total energies = -0.93 eV per formula unit
1.0
6.263 0.004 -0.043
5.135 3.584 -0.043
0.319 0.100 5.451
Sr Br Tc
1 2 1
Cartesian
5.967 1.879 3.119 Sr
9.164 2.885 3.101 Br
0.186 0.059 0.255 Br
2.258 0.711 1.572 Tc


Asked for M_tot across the records above, the calculation gives 0.0, 6.0, 0.0, 0.0, 0.0, 0.0, 0.0, 0.0, 0.0, 0.0, 0.0, 0.0, 0.0, 0.0, 0.0, 0.0, 0.0, 0.0, 3.0 μB/cell in order.